# CaAl2Ru PBE-GGA relaxed
data_CaAl2Ru
_chemical_formula_sum 'Ca2 Al4 Ru2'
_space_group_name_H-M_alt 'I -4 m 2'
_space_group_IT_number 119
_space_group_name_Hall 'I -4 -2'
_cell_length_a 4.615
_cell_length_b 4.615
_cell_length_c 6.557
_cell_angle_alpha 90.00
_cell_angle_beta 90.00
_cell_angle_gamma 90.00
loop_
_atom_site_label
_atom_site_type_symbol
_atom_site_fract_x
_atom_site_fract_y
_atom_site_fract_z
Ca1 Ca 0.000 0.000 0.000
Al1 Al 0.000 0.000 0.500
Al2 Al 0.000 0.500 0.250
Ru1 Ru 0.000 0.500 0.750
# **Volume**: 17.46 Å³ per atom
# **Total magnetization**: 0.0 μB per cell
# **Formation energy from the elements**: 0.0004 eV/atom

# CaAlRu2 PBE-GGA relaxed
data_CaAlRu2
_chemical_formula_sum 'Ca2 Al2 Ru4'
_space_group_name_H-M_alt 'I -4 m 2'
_space_group_IT_number 119
_space_group_name_Hall 'I -4 -2'
_cell_length_a 4.562
_cell_length_b 4.562
_cell_length_c 6.466
_cell_angle_alpha 90.00
_cell_angle_beta 90.00
_cell_angle_gamma 90.00
loop_
_atom_site_label
_atom_site_type_symbol
_atom_site_fract_x
_atom_site_fract_y
_atom_site_fract_z
Ca1 Ca 0.000 0.000 0.000
Al1 Al 0.000 0.500 0.250
Ru1 Ru 0.000 0.000 0.500
Ru2 Ru 0.000 0.500 0.750
# **Volume**: 16.82 Å³ per atom
# **Total magnetization**: 2.8 μB per cell
# **Formation energy from the elements**: 0.1915 eV/atom

Among the records above, which one has the highest formation energy from the elements? CaAlRu2